Record 1
K2SbCl at its PBEsol-relaxed geometry. Source: the Alexandria database, functional SCAN.

- Space group: No. 139
- Formation energy (no corrections): -784 meV per atom
- Fermi-level density of states: 1.6 states/eV/cell
- DFT total energy: -1.19496 Ry per atom

The structure in POSCAR format:
```
K2SbCl
1.0
-2.1529 -4.3874 -2.6992
3.7186 -1.0109 4.4513
-5.1505 1.7849 1.2069
Sb K Cl
1 2 1
Direct
0.5000 0.0000 0.5000
0.7500 0.5000 0.2500
0.2500 0.5000 0.7500
0.0000 0.0000 0.0000
```

***

Record 2
K2SbCl5 at its PBEsol-relaxed geometry. Source: the Alexandria database, functional SCAN.

- Space group: No. 14
- Formation energy (no corrections): -1589 meV per atom
- Fermi-level density of states: 0.0 states/eV/cell
- DFT total energy: -0.97863 Ry per atom

The structure in POSCAR format:
```
K2SbCl5
1.0
-3.7618 -0.4572 7.9071
4.1229 -7.6214 -1.9831
10.4166 4.2810 5.2033
Cl K Sb
20 8 4
Direct
0.9454 0.2426 0.0940
0.5546 0.7574 0.5940
0.0546 0.7574 0.9060
0.4454 0.2426 0.4060
0.1863 0.9845 0.1518
0.3137 0.0155 0.6518
0.8137 0.0155 0.8482
0.6863 0.9845 0.3482
0.2094 0.4193 0.8619
0.2906 0.5807 0.3619
0.7906 0.5807 0.1381
0.7094 0.4193 0.6381
0.3558 0.3867 0.1172
0.1442 0.6133 0.6172
0.6442 0.6133 0.8828
0.8558 0.3867 0.3828
0.4616 0.1677 0.9255
0.0384 0.8323 0.4255
0.5384 0.8323 0.0745
0.9616 0.1677 0.5745
0.5812 0.1782 0.1730
0.9188 0.8218 0.6730
0.4188 0.8218 0.8270
0.0812 0.1782 0.3270
0.8381 0.3731 0.8714
0.6619 0.6269 0.3714
0.1619 0.6269 0.1286
0.3381 0.3731 0.6286
0.1920 0.1839 0.9926
0.3080 0.8161 0.4926
0.8080 0.8161 0.0074
0.6920 0.1839 0.5074
```

***

Record 3
KSb2Cl at its PBEsol-relaxed geometry. Source: the Alexandria database, functional SCAN.

- Space group: No. 123
- Formation energy (no corrections): 39 meV per atom
- Fermi-level density of states: 3.4 states/eV/cell
- DFT total energy: -1.66610 Ry per atom

The structure in POSCAR format:
```
KSb2Cl
1.0
-2.1524 2.2629 0.9823
-2.0865 -2.3654 0.8773
4.0148 -0.1504 9.1432
Sb K Cl
2 1 1
Direct
0.0000 0.0000 0.7830
0.0000 0.0000 0.2170
0.5000 0.5000 0.5000
0.5000 0.5000 0.0000
```

***

Record 4
K2TlSbCl6 at its PBEsol-relaxed geometry. Source: the Alexandria database, functional SCAN.

- Space group: No. 225
- Formation energy (no corrections): -1384 meV per atom
- Fermi-level density of states: 0.0 states/eV/cell
- DFT total energy: -1.38163 Ry per atom

The structure in POSCAR format:
```
K2TlSbCl6
1.0
-1.9330 -7.5926 -0.4080
5.5987 -5.4348 -0.8173
1.7012 -4.8069 5.9624
K Tl Sb Cl
2 1 1 6
Direct
0.7500 0.7500 0.7500
0.2500 0.2500 0.2500
0.5000 0.5000 0.5000
0.0000 0.0000 0.0000
0.7637 0.2363 0.2363
0.7637 0.7637 0.2363
0.2363 0.7637 0.7637
0.7637 0.2363 0.7637
0.2363 0.7637 0.2363
0.2363 0.2363 0.7637
```

***

Record 5
K2ScCl at its PBEsol-relaxed geometry. Source: the Alexandria database, functional SCAN.

- Space group: No. 123
- Formation energy (no corrections): -639 meV per atom
- Fermi-level density of states: 3.0 states/eV/cell
- DFT total energy: -0.76126 Ry per atom

The structure in POSCAR format:
```
K2ScCl
1.0
3.5154 0.0000 0.0000
0.0000 3.5154 0.0000
0.0000 0.0000 10.4339
Sc K Cl
1 2 1
Direct
0.5000 0.5000 0.0000
0.0000 0.0000 0.6826
0.0000 0.0000 0.3174
0.5000 0.5000 0.5000
```

***

Record 6
KSc2Cl at its PBEsol-relaxed geometry. Source: the Alexandria database, functional SCAN.

- Space group: No. 166
- Formation energy (no corrections): -285 meV per atom
- Fermi-level density of states: 3.9 states/eV/cell
- DFT total energy: -0.84376 Ry per atom

The structure in POSCAR format:
```
KSc2Cl
1.0
3.5711 0.0000 0.0000
1.7855 3.0927 0.0000
1.7855 1.0309 9.5298
Sc K Cl
2 1 1
Direct
0.2171 0.2171 0.3488
0.7829 0.7829 0.6512
0.0000 0.0000 0.0000
0.5000 0.5000 0.5000
```

***

Record 7
K3ScCl6 at its PBEsol-relaxed geometry. Source: the Alexandria database, functional SCAN.

- Space group: No. 14
- Formation energy (no corrections): -2303 meV per atom
- Fermi-level density of states: 0.0 states/eV/cell
- DFT total energy: -0.80940 Ry per atom

The structure in POSCAR format:
```
K3ScCl6
1.0
-4.3717 -0.9994 -5.8669
9.5962 -5.0132 -6.2967
-5.9086 -9.4958 6.0203
Cl K Sc
24 12 4
Direct
0.8240 0.1382 0.1460
0.3240 0.8618 0.3540
0.1760 0.8618 0.8540
0.6760 0.1382 0.6460
0.7139 0.4231 0.4097
0.2139 0.5769 0.0903
0.2861 0.5769 0.5903
0.7861 0.4231 0.9097
0.1555 0.4779 0.3194
0.6555 0.5221 0.1806
0.8445 0.5221 0.6806
0.3445 0.4779 0.8194
0.3968 0.3117 0.9962
0.8968 0.6883 0.5038
0.6032 0.6883 0.0038
0.1032 0.3117 0.4962
0.2822 0.0790 0.0967
0.7822 0.9210 0.4033
0.7178 0.9210 0.9033
0.2178 0.0790 0.5967
0.4864 0.1301 0.3854
0.9864 0.8699 0.1146
0.5136 0.8699 0.6146
0.0136 0.1301 0.8854
0.0668 0.0733 0.3358
0.5668 0.9267 0.1642
0.9332 0.9267 0.6642
0.4332 0.0733 0.8358
0.9903 0.3525 0.0888
0.4903 0.6475 0.4112
0.0097 0.6475 0.9112
0.5097 0.3525 0.5888
0.4777 0.2943 0.2272
0.9777 0.7057 0.2728
0.5223 0.7057 0.7728
0.0223 0.2943 0.7272
0.0000 0.0000 0.0000
0.5000 0.0000 0.5000
0.0000 0.5000 0.5000
0.5000 0.5000 0.0000
```

***

Record 8
KScCl2 at its PBEsol-relaxed geometry. Source: the Alexandria database, functional SCAN.

- Space group: No. 10
- Formation energy (no corrections): -1378 meV per atom
- Fermi-level density of states: 2.2 states/eV/cell
- DFT total energy: -0.80910 Ry per atom

The structure in POSCAR format:
```
KScCl2
1.0
3.4786 0.0000 0.0000
0.0000 4.6300 0.1524
0.0000 -0.2693 5.6653
Sc K Cl
1 1 2
Direct
0.0000 0.0000 0.5000
0.5000 0.5000 0.0000
0.0000 0.0000 0.0000
0.5000 0.5000 0.5000
```

***

Record 9
KScCl2 at its PBEsol-relaxed geometry. Source: the Alexandria database, functional SCAN.

- Space group: No. 123
- Formation energy (no corrections): -1403 meV per atom
- Fermi-level density of states: 1.1 states/eV/cell
- DFT total energy: -0.81095 Ry per atom

The structure in POSCAR format:
```
KScCl2
1.0
-0.6707 2.9964 -1.2201
-3.2353 -0.6230 0.2484
-0.0106 2.7637 6.7932
Sc K Cl
1 1 2
Direct
0.5000 0.5000 0.5000
0.5000 0.5000 0.0000
0.0000 0.0000 0.7066
0.0000 0.0000 0.2934
```

***

Record 10
KScCl2 at its PBEsol-relaxed geometry. Source: the Alexandria database, functional SCAN.

- Space group: No. 47
- Formation energy (no corrections): -1581 meV per atom
- Fermi-level density of states: 1.7 states/eV/cell
- DFT total energy: -0.82404 Ry per atom

The structure in POSCAR format:
```
KScCl2
1.0
3.4391 0.0000 0.0000
0.0000 3.7213 0.0000
0.0000 0.0000 7.5283
Sc K Cl
1 1 2
Direct
0.5000 0.5000 0.5000
0.5000 0.0000 0.0000
0.0000 0.5000 0.7587
0.0000 0.5000 0.2413
```

***

Record 11
KSc2Cl at its PBEsol-relaxed geometry. Source: the Alexandria database, functional SCAN.

- Space group: No. 6
- Formation energy (no corrections): -671 meV per atom
- Fermi-level density of states: 3.1 states/eV/cell
- DFT total energy: -0.87218 Ry per atom

The structure in POSCAR format:
```
KSc2Cl
1.0
-3.2500 -0.7213 -0.0355
0.7413 -3.3433 0.0637
-0.5065 1.8158 9.4812
Sc K Cl
2 1 1
Direct
0.0000 0.9635 0.0491
0.5000 0.5722 0.2684
0.5000 0.2843 0.6958
0.0000 0.6800 0.4867
```

***

Record 12
KScCl2 at its PBEsol-relaxed geometry. Source: the Alexandria database, functional SCAN.

- Space group: No. 216
- Formation energy (no corrections): -614 meV per atom
- Fermi-level density of states: 2.5 states/eV/cell
- DFT total energy: -0.75298 Ry per atom

The structure in POSCAR format:
```
KScCl2
1.0
-0.0267 -4.0154 3.1827
4.3851 -1.6615 2.0650
0.9001 0.6859 4.9973
Sc K Cl
1 1 2
Direct
0.2500 0.2500 0.2500
0.5000 0.5000 0.5000
0.0000 0.0000 0.0000
0.7500 0.7500 0.7500
```

***

Record 13
K2ScCl at its PBEsol-relaxed geometry. Source: the Alexandria database, functional SCAN.

- Space group: No. 71
- Formation energy (no corrections): -271 meV per atom
- Fermi-level density of states: 3.6 states/eV/cell
- DFT total energy: -0.73418 Ry per atom

The structure in POSCAR format:
```
K2ScCl
1.0
3.4907 0.0000 0.0000
0.0000 6.1595 0.0000
-1.7453 -3.0798 6.5759
Sc K Cl
1 2 1
Direct
0.5000 0.0000 0.0000
0.6842 0.6842 0.3685
0.3158 0.3158 0.6315
0.0000 0.5000 0.0000
```

***

Record 14
K3ScCl6 at its PBEsol-relaxed geometry. Source: the Alexandria database, functional SCAN.

- Space group: No. 225
- Formation energy (no corrections): -2237 meV per atom
- Fermi-level density of states: 0.0 states/eV/cell
- DFT total energy: -0.80449 Ry per atom

The structure in POSCAR format:
```
K3ScCl6
1.0
-3.0169 6.6981 1.7945
-0.6069 2.0524 7.2530
4.3898 5.5091 2.7506
Sc K Cl
1 3 6
Direct
0.0000 0.0000 0.0000
0.7500 0.7500 0.7500
0.2500 0.2500 0.2500
0.5000 0.5000 0.5000
0.7702 0.2298 0.2298
0.2298 0.7702 0.2298
0.2298 0.2298 0.7702
0.7702 0.2298 0.7702
0.7702 0.7702 0.2298
0.2298 0.7702 0.7702
```

***

Record 15
KScCl2 at its PBEsol-relaxed geometry. Source: the Alexandria database, functional SCAN.

- Space group: No. 119
- Formation energy (no corrections): -1210 meV per atom
- Fermi-level density of states: 1.9 states/eV/cell
- DFT total energy: -0.79678 Ry per atom

The structure in POSCAR format:
```
KScCl2
1.0
-0.7292 0.5650 3.8300
2.2820 -3.0855 0.8896
4.8284 5.5316 -1.9228
Sc K Cl
1 1 2
Direct
0.2500 0.7500 0.5000
0.5000 0.5000 0.0000
0.0000 0.0000 0.0000
0.7500 0.2500 0.5000
```

***

Record 16
KSeCl at its PBEsol-relaxed geometry. Source: the Alexandria database, functional SCAN.

- Space group: No. 187
- Formation energy (no corrections): -634 meV per atom
- Fermi-level density of states: 2.9 states/eV/cell
- DFT total energy: -0.93805 Ry per atom

The structure in POSCAR format:
```
KSeCl
1.0
4.2834 0.0000 0.0000
0.0000 4.7938 0.0000
0.0000 -2.3969 4.1516
K Se Cl
1 1 1
Direct
0.6670 0.3333 0.6667
0.1665 0.6667 0.3333
0.1665 0.0000 0.0000
```

***

Record 17
KSe2Cl2 at its PBEsol-relaxed geometry. Source: the Alexandria database, functional SCAN.

- Space group: No. 139
- Formation energy (no corrections): -607 meV per atom
- Fermi-level density of states: 3.4 states/eV/cell
- DFT total energy: -0.99188 Ry per atom

The structure in POSCAR format:
```
KSe2Cl2
1.0
3.7436 0.0000 0.0000
0.0000 3.7436 0.0000
-1.8718 -1.8718 8.7419
K Se Cl
1 2 2
Direct
0.0000 0.0000 0.0000
0.2500 0.7500 0.5000
0.7500 0.2500 0.5000
0.4081 0.4081 0.8163
0.5919 0.5919 0.1837
```

***

Record 18
KSiCl2 at its PBEsol-relaxed geometry. Source: the Alexandria database, functional SCAN.

- Space group: No. 25
- Formation energy (no corrections): -947 meV per atom
- Fermi-level density of states: 0.5 states/eV/cell
- DFT total energy: -0.69987 Ry per atom

The structure in POSCAR format:
```
KSiCl2
1.0
3.4763 0.0000 0.0000
0.0000 5.2254 0.0000
0.0000 0.0000 5.3275
Cl K Si
2 1 1
Direct
0.5000 0.0000 0.8579
0.5000 0.5000 0.4307
0.0000 0.0000 0.3517
0.5000 0.5000 0.8597
```

***

Record 19
KSiCl2 at its PBEsol-relaxed geometry. Source: the Alexandria database, functional SCAN.

- Space group: No. 225
- Formation energy (no corrections): -495 meV per atom
- Fermi-level density of states: 2.6 states/eV/cell
- DFT total energy: -0.66663 Ry per atom

The structure in POSCAR format:
```
KSiCl2
1.0
5.0500 0.0000 0.0000
2.5250 4.3734 0.0000
2.5250 1.4578 4.1233
Cl K Si
2 1 1
Direct
0.2500 0.2500 0.2500
0.7500 0.7500 0.7500
0.5000 0.5000 0.5000
0.0000 0.0000 0.0000
```

***

Record 20
KSm2Cl5 at its PBEsol-relaxed geometry. Source: the Alexandria database, functional SCAN.

- Space group: No. 14
- Formation energy (no corrections): -2217 meV per atom
- DFT total energy: -1.42253 Ry per atom

The structure in POSCAR format:
```
KSm2Cl5
1.0
6.9475 0.0000 0.0000
0.0000 8.4549 -0.0112
0.0000 -0.0361 12.9591
K Sm Cl
4 8 20
Direct
0.4329 0.5002 0.6614
0.9329 0.4998 0.8386
0.5671 0.4998 0.3386
0.0671 0.5002 0.1614
0.0330 0.2086 0.4996
0.9670 0.7914 0.5004
0.5934 0.0068 0.3360
0.5330 0.7914 0.0004
0.0934 0.9932 0.1640
0.4670 0.2086 0.9996
0.9066 0.0068 0.8360
0.4066 0.9932 0.6640
0.1766 0.5223 0.4253
0.8234 0.4777 0.5747
0.9535 0.7926 0.9982
0.8471 0.7623 0.2894
0.3471 0.2377 0.2106
0.6766 0.4777 0.0747
0.0465 0.2074 0.0018
0.8095 0.0247 0.6291
0.1529 0.2377 0.7106
0.4535 0.2074 0.5018
0.1371 0.7563 0.6940
0.3629 0.7563 0.1940
0.6371 0.2437 0.8060
0.6529 0.7623 0.7894
0.1905 0.9753 0.3709
0.3234 0.5223 0.9253
0.5465 0.7926 0.4982
0.8629 0.2437 0.3060
0.6905 0.0247 0.1291
0.3095 0.9753 0.8709
```